Record 1
10
Lattice="3.682 0.000 0.000 0.000 3.682 0.000 0.000 0.000 23.676" Properties=species:S:1:pos:R:3 comment="Sr2ZrTa2 (PBE, optimized geometry)" spacegroup=I4/mmm magmom_total_mub_per_fu=1.60 dos_at_fermi_per_ev_cell=17.1 formation_enthalpy_0k_ev_per_atom=0.975 pbc="T T T"
Sr 0.000 0.000 2.732
Sr 0.000 0.000 20.944
Sr 1.841 1.841 9.106
Sr 1.841 1.841 14.570
Zr 0.000 0.000 11.838
Zr 1.841 1.841 0.000
Ta 0.000 1.841 5.919
Ta 0.000 1.841 17.757
Ta 1.841 0.000 5.919
Ta 1.841 0.000 17.757

Record 2
8
Lattice="4.071 0.000 0.000 0.000 4.384 0.000 0.000 0.000 8.419" Properties=species:S:1:pos:R:3 comment="BeAl2Tl (PBE, optimized geometry)" spacegroup=Cmmm magmom_total_mub_per_fu=0.00 dos_at_fermi_per_ev_cell=2.8 formation_enthalpy_0k_ev_per_atom=0.332 pbc="T T T"
Be 0.000 0.000 0.000
Be 2.035 2.192 0.000
Al 0.000 2.192 1.452
Al 0.000 2.192 6.967
Al 2.035 0.000 1.452
Al 2.035 0.000 6.967
Tl 0.000 0.000 4.209
Tl 2.035 2.192 4.209

Record 3
12
Lattice="-3.629 7.358 3.940 3.629 -7.358 3.940 3.629 7.358 -3.940" Properties=species:S:1:pos:R:3 comment="Nd3SmSb2 (PBE, optimized geometry)" spacegroup=Ibam magmom_total_mub_per_fu=0.00 formation_energy_uncorrected_ev_per_atom=-0.62 dos_at_fermi_per_ev_cell=14.0 pbc="T T T"
Nd 3.629 -3.061 1.970
Nd 0.000 0.000 1.970
Nd 3.629 3.061 1.970
Nd 0.000 4.297 1.970
Nd 0.000 0.000 5.909
Nd 0.000 10.419 1.970
Sm 3.629 0.000 0.000
Sm 0.000 7.358 0.000
Sb 1.279 2.149 0.000
Sb 1.279 -2.149 3.940
Sb 2.349 9.507 0.000
Sb 2.349 5.209 3.940

Record 4
8
Lattice="5.082 0.000 0.000 0.000 7.393 0.000 0.000 0.000 2.916" Properties=species:S:1:pos:R:3 comment="Fe2MoAs (PBE, optimized geometry)" spacegroup=Cmmm magmom_total_mub_per_fu=4.09 dos_at_fermi_per_ev_cell=7.8 formation_enthalpy_0k_ev_per_atom=0.180 pbc="T T T"
Fe 1.271 1.848 0.000
Fe 1.271 5.545 0.000
Fe 3.812 1.848 0.000
Fe 3.812 5.545 0.000
Mo 0.000 0.000 1.458
Mo 2.541 3.697 1.458
As 0.000 3.697 1.458
As 2.541 0.000 1.458

Record 5
5
Lattice="4.005 0.000 0.000 0.000 4.005 0.000 0.000 0.000 3.811" Properties=species:S:1:pos:R:3 comment="Li2OsPdN (PBE, optimized geometry)" spacegroup=P4/mmm magmom_total_mub_per_fu=0.00 formation_energy_uncorrected_ev_per_atom=-0.19 dos_at_fermi_per_ev_cell=3.7 pbc="T T T"
Li 0.000 2.002 0.000
Li 2.002 0.000 0.000
Os 0.000 0.000 1.905
Pd 2.002 2.002 1.905
N 0.000 0.000 0.000

Record 6
10
Lattice="8.618 0.000 0.000 0.000 8.618 0.000 0.000 0.000 2.974" Properties=species:S:1:pos:R:3 comment="NaZr2Ag2 (PBE, optimized geometry)" spacegroup=P4/mbm magmom_total_mub_per_fu=0.00 dos_at_fermi_per_ev_cell=6.3 formation_enthalpy_0k_ev_per_atom=0.170 pbc="T T T"
Na 0.000 0.000 0.000
Na 4.309 4.309 0.000
Zr 1.400 2.909 1.487
Zr 2.909 7.218 1.487
Zr 5.709 1.400 1.487
Zr 7.218 5.709 1.487
Ag 1.135 5.444 0.000
Ag 3.175 1.135 0.000
Ag 5.444 7.484 0.000
Ag 7.484 3.175 0.000

Record 7
5
Lattice="4.020 0.000 0.000 0.000 4.020 0.000 0.000 0.000 5.175" Properties=species:S:1:pos:R:3 comment="MoAs2HBr (PBE, optimized geometry)" spacegroup=P4/mmm total_energy_ev_per_atom=-4.24 magmom_total_mub_per_fu=2.52 dos_at_fermi_per_ev_cell=1.8 pbc="T T T"
Mo 0.000 0.000 0.000
As 0.000 2.010 2.588
As 2.010 0.000 2.588
H 2.010 2.010 2.588
Br 2.010 2.010 0.000

Record 8
5
Lattice="4.760 0.000 0.000 0.000 4.760 0.000 0.000 0.000 4.912" Properties=species:S:1:pos:R:3 comment="SiTeMo2Se (PBE, optimized geometry)" spacegroup=P4/mmm magmom_total_mub_per_fu=3.24 formation_energy_uncorrected_ev_per_atom=1.28 dos_at_fermi_per_ev_cell=5.8 pbc="T T T"
Si 0.000 0.000 0.000
Te 0.000 0.000 2.456
Mo 0.000 2.380 0.000
Mo 2.380 0.000 0.000
Se 2.380 2.380 2.456

Record 9
6
Lattice="0.000 3.669 3.669 3.669 0.000 3.669 3.669 3.669 0.000" Properties=species:S:1:pos:R:3 comment="LuTaRu4 (PBE, optimized geometry)" spacegroup=F-43m magmom_total_mub_per_fu=0.00 dos_at_fermi_per_ev_cell=8.0 formation_enthalpy_0k_ev_per_atom=-0.165 pbc="T T T"
Lu 0.000 0.000 0.000
Ta 1.834 1.834 1.834
Ru 4.587 2.751 2.751
Ru 2.751 4.587 2.751
Ru 2.751 2.751 4.587
Ru 4.587 4.587 4.587

Record 10
8
Lattice="4.612 0.000 0.000 0.000 4.612 0.000 0.000 0.000 16.139" Properties=species:S:1:pos:R:3 comment="BaSrBr2 (PBE, optimized geometry)" spacegroup=I-4m2 magmom_total_mub_per_fu=0.49 formation_energy_uncorrected_ev_per_atom=-1.34 dos_at_fermi_per_ev_cell=6.4 pbc="T T T"
Ba 0.000 0.000 0.000
Ba 2.306 2.306 8.069
Sr 0.000 2.306 4.035
Sr 2.306 0.000 12.104
Br 0.000 0.000 8.069
Br 0.000 2.306 12.104
Br 2.306 0.000 4.035
Br 2.306 2.306 0.000

Record 11
8
Lattice="9.029 0.000 0.000 0.000 2.854 0.000 -0.826 0.000 5.283" Properties=species:S:1:pos:R:3 comment="ZrZn2Pt (PBE, optimized geometry)" spacegroup=Cm magmom_total_mub_per_fu=0.00 dos_at_fermi_per_ev_cell=6.3 formation_enthalpy_0k_ev_per_atom=-0.379 pbc="T T T"
Zr 0.000 0.000 0.000
Zr 4.515 1.427 0.000
Zn 1.614 0.000 3.611
Zn 4.044 0.000 2.655
Zn 6.129 1.427 3.611
Zn 8.559 1.427 2.655
Pt 2.106 1.427 1.272
Pt 6.621 0.000 1.272

Record 12
10
Lattice="4.161 0.000 0.000 0.000 4.161 0.000 0.000 0.000 10.740" Properties=species:S:1:pos:R:3 comment="Y2Ga4Pt3Rh (PBE, optimized geometry)" spacegroup=P-4m2 magmom_total_mub_per_fu=0.00 dos_at_fermi_per_ev_cell=6.5 formation_enthalpy_0k_ev_per_atom=-0.941 pbc="T T T"
Y 0.000 2.080 2.637
Y 2.080 0.000 8.103
Ga 0.000 0.000 5.370
Ga 0.000 2.080 9.344
Ga 2.080 0.000 1.397
Ga 2.080 2.080 5.370
Pt 0.000 0.000 0.000
Pt 0.000 2.080 6.866
Pt 2.080 0.000 3.875
Rh 2.080 2.080 0.000